Record 1
Density functional theory data (PBE) for a relaxed KCdMo2 crystal.

a b c (Å): 2.733 5.303 5.668
angles (deg): 90.00 90.00 90.00
Fractional positions:
Mo 0.500 0.500 0.000
Mo 0.000 0.000 0.000
Cd 0.500 0.000 0.500
K 0.000 0.500 0.500

**ΔE_f**: 1202 meV/atom
**Volume**: 82.1 Å³ per cell
**Total magnetic moment**: 0.75 μB/cell
**ρ**: 6.94 g/cm3

Record 2
Density functional theory data (PBE) for a relaxed Li3YHg crystal.

a b c (Å): 5.865 5.865 5.865
angles (deg): 90.00 90.00 90.00
Fractional positions:
Li 0.000 0.500 0.000
Li 0.000 0.000 0.500
Li 0.500 0.000 0.000
Hg 0.500 0.500 0.500
Y 0.000 0.000 0.000

**ΔE_f**: 980 meV/atom
**Volume**: 201.8 Å³ per cell
**Relative energy among the computed polymorphs**: 891 meV/atom
**Total magnetic moment**: 2.14 μB/cell
**ρ**: 2.55 g/cm3

Record 3
Density functional theory data (PBE) for a relaxed Tb2Ga5Co2Ni crystal.

a b c (Å): 3.809 9.326 9.326
angles (deg): 90.00 90.00 90.00
Fractional positions:
Tb 0.000 0.816 0.684
Tb 0.000 0.684 0.184
Tb 0.000 0.184 0.316
Tb 0.000 0.316 0.816
Ni 0.000 0.500 0.500
Ni 0.000 0.000 0.000
Ga 0.500 0.700 0.445
Ga 0.500 0.300 0.555
Ga 0.500 0.000 0.500
Ga 0.500 0.055 0.800
Ga 0.500 0.200 0.055
Ga 0.500 0.945 0.200
Ga 0.500 0.445 0.300
Ga 0.500 0.500 0.000
Ga 0.500 0.800 0.945
Ga 0.500 0.555 0.700
Co 0.000 0.113 0.613
Co 0.000 0.887 0.387
Co 0.000 0.387 0.113
Co 0.000 0.613 0.887

**ΔE_f**: -375 meV/atom
**Volume**: 331.3 Å³ per cell
**Total magnetic moment**: 0.00 μB/cell
**ρ**: 8.45 g/cm3

Record 4
Density functional theory data (PBE) for a relaxed YTmCdPd crystal.

a b c (Å): 5.098 5.098 5.098
angles (deg): 60.00 60.00 60.00
Fractional positions:
Tm 0.250 0.250 0.250
Pd 0.500 0.500 0.500
Y 0.750 0.750 0.750
Cd 0.000 0.000 0.000

**ΔE_f**: -566 meV/atom
**Volume**: 93.7 Å³ per cell
**Relative energy among the computed polymorphs**: 54 meV/atom
**Total magnetic moment**: 0.00 μB/cell
**ρ**: 8.45 g/cm3

Record 5
Density functional theory data (PBE) for a relaxed Zr2MnAuC crystal.

a b c (Å): 4.637 4.637 3.740
angles (deg): 90.00 90.00 90.00
Fractional positions:
Zr 0.000 0.500 0.000
Zr 0.500 0.000 0.000
Au 0.500 0.500 0.500
C 0.000 0.000 0.000
Mn 0.000 0.000 0.500

**ΔE_f**: -453 meV/atom
**Volume**: 80.4 Å³ per cell
**Total magnetic moment**: 0.26 μB/cell
**ρ**: 9.22 g/cm3

Record 6
Density functional theory data (PBE) for a relaxed BaAuO2F crystal.

a b c (Å): 4.547 4.547 5.014
angles (deg): 90.00 90.00 90.00
Fractional positions:
Ba 0.000 0.000 0.000
O 0.000 0.500 0.000
O 0.500 0.000 0.000
Au 0.500 0.500 0.500
F 0.000 0.000 0.500

**Raw total energy**: -19.0 eV/cell
**Volume**: 103.7 Å³ per cell
**Total magnetic moment**: 0.00 μB/cell
**ρ**: 6.17 g/cm3

Record 7
Density functional theory data (PBE) for a relaxed TiOsI2O crystal.

a b c (Å): 5.601 5.601 3.725
angles (deg): 90.00 90.00 90.00
Fractional positions:
O 0.000 0.000 0.500
Ti 0.500 0.500 0.500
Os 0.000 0.000 0.000
I 0.000 0.500 0.000
I 0.500 0.000 0.000

**Volume**: 116.9 Å³ per cell
**Relative energy among the computed polymorphs**: 32 meV/atom
**Total magnetic moment**: 2.17 μB/cell
**ρ**: 7.22 g/cm3

Record 8
Density functional theory data (PBE) for a relaxed LuMgIn crystal.

a b c (Å): 4.921 4.921 4.921
angles (deg): 60.00 60.00 60.00
Fractional positions:
Lu 0.000 0.000 0.000
Mg 0.500 0.500 0.500
In 0.250 0.250 0.250

**ΔE_f**: -137 meV/atom
**Volume**: 84.2 Å³ per cell
**Total magnetic moment**: 0.00 μB/cell
**ρ**: 6.19 g/cm3

Record 9
Density functional theory data (PBE) for a relaxed ZrCoHg2 crystal.

a b c (Å): 3.257 3.277 6.976
angles (deg): 90.00 90.00 90.00
Fractional positions:
Zr 0.500 0.500 0.250
Co 0.500 0.500 0.750
Hg 0.000 0.000 0.966
Hg 0.000 0.000 0.534

**ΔE_f**: 164 meV/atom
**Volume**: 74.5 Å³ per cell
**Total magnetic moment**: 1.07 μB/cell
**ρ**: 12.30 g/cm3

Record 10
Density functional theory data (PBE) for a relaxed TbGa2CuNi crystal.

a b c (Å): 4.145 4.145 5.760
angles (deg): 111.09 111.09 90.00
Fractional positions:
Ga 0.628 0.628 0.255
Ga 0.372 0.372 0.745
Tb 0.000 0.000 0.000
Ni 0.750 0.250 0.500
Cu 0.250 0.750 0.500

**ΔE_f**: -475 meV/atom
**Volume**: 85.2 Å³ per cell
**Total magnetic moment**: 0.00 μB/cell
**ρ**: 8.20 g/cm3

Record 11
Density functional theory data (PBE) for a relaxed Tl2GaHgBi2 crystal.

a b c (Å): 6.948 6.829 9.354
angles (deg): 111.41 111.80 90.00
Fractional positions:
Hg 0.000 0.750 0.000
Hg 0.000 0.250 0.000
Bi 0.600 0.385 0.769
Bi 0.400 0.615 0.231
Bi 0.831 0.115 0.231
Bi 0.169 0.885 0.769
Ga 0.500 0.750 0.000
Ga 0.500 0.250 0.000
Tl 0.387 0.171 0.342
Tl 0.955 0.671 0.342
Tl 0.613 0.829 0.658
Tl 0.045 0.329 0.658

**ΔE_f**: 28 meV/atom
**Volume**: 378.9 Å³ per cell
**Total magnetic moment**: 0.00 μB/cell
**ρ**: 9.61 g/cm3

Record 12
Density functional theory data (PBE) for a relaxed SmHfThSc crystal.

a b c (Å): 5.381 5.381 5.381
angles (deg): 60.00 60.00 60.00
Fractional positions:
Hf 0.250 0.250 0.250
Sc 0.750 0.750 0.750
Sm 0.000 0.000 0.000
Th 0.500 0.500 0.500

**ΔE_f**: 152 meV/atom
**Volume**: 110.2 Å³ per cell
**Total magnetic moment**: 0.00 μB/cell
**ρ**: 9.13 g/cm3

Number 1: DOS(E_F) 1.0334 states/eV per atom. Number 2: DOS(E_F) 1.4053 states/eV per atom. Number 3: DOS(E_F) 0.8586 states/eV per atom. Number 4: DOS(E_F) 0.6436 states/eV per atom. Number 5: DOS(E_F) 0.4386 states/eV per atom. Number 6: DOS(E_F) 0.1287 states/eV per atom. Number 7: DOS(E_F) 1.2862 states/eV per atom. Number 8: DOS(E_F) 0.5844 states/eV per atom. Number 9: DOS(E_F) 1.4530 states/eV per atom. Number 10: DOS(E_F) 0.8594 states/eV per atom. Number 11: DOS(E_F) 0.2611 states/eV per atom. Number 12: DOS(E_F) 1.2567 states/eV per atom.